VASP calculation (PBE) on a geometry-optimized LaCd6Au structure.

Cell: 4.8727 5.8161 7.5159 Å, 112.76 90.00 90.00°
With the nearest neighbours (Å) after each atom.
Element x y z (fractional)
Cd (0.0000, 0.8192, 0.1498)  4 Cd 2.84-3.11, 2 Au 2.94
Cd (0.0000, 0.3305, 0.1498)  4 Cd 2.84-3.11, 2 Au 2.93
Cd (0.0000, 0.2798, 0.5597)  4 Cd 3.15-3.21, 2 Au 3.25
Cd (0.5000, 0.6759, 0.8698)  6 Cd 2.80-3.11, 1 Au 3.03
Cd (0.0000, 0.8675, 0.7349)  8 Cd 3.01-3.24, 2 La 3.28
Cd (0.5000, 0.1939, 0.8698)  6 Cd 2.80-3.11, 1 Au 3.03
Au (0.5000, 0.1242, 0.2485)  8 Cd 2.93-3.25, 2 La 3.14
La (0.5000, 0.7089, 0.4177)  2 Au 3.14, 8 Cd 3.28-3.48

Calculated values
ΔE_f ... -20.6 kJ per mole of atoms
DOS at the Fermi energy ... 4.0 states/eV/cell